# AcGdZn2, relaxed, DFT PBE-GGA
# - Energy relative to the elements: -1.12 eV per formula unit
data_AcGdZn2
_cell_length_a 3.757
_cell_length_b 3.757
_cell_length_c 7.523
_cell_angle_alpha 90.00
_cell_angle_beta 90.00
_cell_angle_gamma 90.00
_symmetry_space_group_name_H-M 'P 1'
_symmetry_Int_Tables_number 1
loop_
_symmetry_equiv_pos_as_xyz
'x,y,z'
loop_
_atom_site_label
_atom_site_type_symbol
_atom_site_fract_x
_atom_site_fract_y
_atom_site_fract_z
Ac1 Ac 0.500 0.500 0.500
Gd1 Gd 0.500 0.500 0.000
Zn1 Zn 0.000 0.000 0.784
Zn2 Zn 0.000 0.000 0.216

---

# AcGdZn, relaxed, DFT PBE-GGA
# - Energy relative to the elements: -0.10 eV per formula unit
data_AcGdZn
_cell_length_a 4.013
_cell_length_b 5.213
_cell_length_c 5.213
_cell_angle_alpha 120.00
_cell_angle_beta 90.00
_cell_angle_gamma 90.00
_symmetry_space_group_name_H-M 'P 1'
_symmetry_Int_Tables_number 1
loop_
_symmetry_equiv_pos_as_xyz
'x,y,z'
loop_
_atom_site_label
_atom_site_type_symbol
_atom_site_fract_x
_atom_site_fract_y
_atom_site_fract_z
Ac1 Ac 0.000 0.000 0.000
Gd1 Gd 0.500 0.667 0.333
Zn1 Zn 0.500 0.333 0.667